The following is a PBE-GGA calculation of a geometry-optimized TmHfAlRu structure, from Alexandria via LeMat-Bulk.

The calculation puts the total energy at -116.01 eV/cell. The formation enthalpy at 0 K is -390 meV/atom. The mass density is 10.3 g cm⁻³.

The space group is F-43m (No. 216) and the conventional cell measures 6.7502, 6.7502 and 6.7502 Å, with angles of 90.00, 90.00 and 90.00 degrees. The distinct sites, in fractional coordinates, are Tm at (0.0000, 0.0000, 0.0000), Hf at (0.0000, 0.0000, 0.5000), Al at (0.2500, 0.2500, 0.7500) and Ru at (0.2500, 0.2500, 0.2500).